ZrCu2Re | GGA-PBE | optimized geometry

- volume (Å³/cell) = 121
- total moment (μB/atom) = 0.00
- energy relative to the elements (eV/atom) = 0.16
- energy relative to the lowest polymorph listed for this composition (meV per atom) = 75
- total DFT energy (no corrections) (eV per formula unit) = -28.6

Unit cell a=3.5044 b=4.2069 c=8.2393 alpha=90.00 beta=90.00 gamma=90.00
Closest atoms and distances in Å follow each position.
Atoms (fractional coordinates):
Zr (0.0000, 0.0000, 0.0000)  4 Zr 2.74, 4 Cu 2.83-3.06, 2 Re 2.94
Zr (0.5000, 0.5000, 0.0000)  4 Zr 2.74, 4 Cu 2.83-3.06, 2 Re 2.94
Cu (0.0000, 0.0000, 0.4821)  8 Cu 2.48-2.74, 2 Re 2.59
Cu (0.0000, 0.5000, 0.2691)  8 Cu 2.48-2.74
Cu (0.5000, 0.0000, 0.2691)  8 Cu 2.48-2.74
Cu (0.5000, 0.5000, 0.4821)  8 Cu 2.48-2.74, 2 Re 2.59
Re (0.0000, 0.5000, 0.7141)  4 Cu 2.59-2.84, 4 Re 2.74
Re (0.5000, 0.0000, 0.7141)  4 Cu 2.59-2.84, 4 Re 2.74